Record 1
The following is a PBE calculation of a relaxed structure of Li4TcSb, from the Alexandria database.

Results
E_form (uncorrected) = 86 kJ/mol of formula units
space-group type = F-43m, No. 216

Structure (CIF):
```
data_Li4TcSb
_space_group_name_H-M_alt 'P 1'
_space_group_IT_number 1
_space_group_name_Hall 'P 1'
_cell_length_a 4.945
_cell_length_b 4.945
_cell_length_c 4.945
_cell_angle_alpha 60.00
_cell_angle_beta 60.00
_cell_angle_gamma 60.00
loop_
_atom_site_label
_atom_site_type_symbol
_atom_site_fract_x
_atom_site_fract_y
_atom_site_fract_z
Li1 Li 0.373 0.373 0.880
Li2 Li 0.373 0.880 0.373
Li3 Li 0.880 0.373 0.373
Li4 Li 0.373 0.373 0.373
Sb1 Sb 0.750 0.750 0.750
Tc1 Tc 0.000 0.000 0.000
```


Record 2
The following is a PBE calculation of a relaxed structure of Dy4TmGa, from the Alexandria database.

Results
space-group type = C2/c, No. 15
formation enthalpy at 0 K = -0.101 eV/atom

Structure (CIF):
```
data_Dy4TmGa
_space_group_name_H-M_alt 'P 1'
_space_group_IT_number 1
_space_group_name_Hall 'P 1'
_cell_length_a 6.232
_cell_length_b 9.010
_cell_length_c 8.024
_cell_angle_alpha 114.20
_cell_angle_beta 99.74
_cell_angle_gamma 112.98
loop_
_atom_site_label
_atom_site_type_symbol
_atom_site_fract_x
_atom_site_fract_y
_atom_site_fract_z
Dy1 Dy 0.763 0.718 0.635
Dy2 Dy 0.237 0.282 0.365
Dy3 Dy 0.957 0.836 0.229
Dy4 Dy 0.372 0.917 0.635
Dy5 Dy 0.628 0.083 0.365
Dy6 Dy 0.228 0.607 0.771
Dy7 Dy 0.772 0.393 0.229
Dy8 Dy 0.043 0.164 0.771
Tm1 Tm 0.345 0.595 0.189
Tm2 Tm 0.655 0.405 0.811
Ga1 Ga 0.250 0.000 0.999
Ga2 Ga 0.750 0.000 0.001
```


Record 3
The following is a PBE calculation of a relaxed structure of LiVPd2W, from the Alexandria database.

Results
space-group type = P4/mmm, No. 123
formation enthalpy at 0 K = 1.590 eV/atom

Structure (CIF):
```
data_LiVPd2W
_space_group_name_H-M_alt 'P 1'
_space_group_IT_number 1
_space_group_name_Hall 'P 1'
_cell_length_a 4.751
_cell_length_b 4.573
_cell_length_c 4.751
_cell_angle_alpha 90.00
_cell_angle_beta 90.00
_cell_angle_gamma 90.00
loop_
_atom_site_label
_atom_site_type_symbol
_atom_site_fract_x
_atom_site_fract_y
_atom_site_fract_z
Pd1 Pd 0.500 0.000 0.000
Pd2 Pd 0.000 0.000 0.500
Li1 Li 0.000 0.500 0.000
V1 V 0.500 0.500 0.500
W1 W 0.000 0.000 0.000
```


Number 1: energy -3.54 eV per atom. Number 2: energy -4.42 eV per atom. Number 3: energy -5.28 eV per atom.